Entry 1:
First-principles (PBE) data for a relaxed NdY3Pd crystal, as listed in the Alexandria database.

a b c (Å): 5.4966 5.4966 5.4966
angles (deg): 90.00 90.00 90.00
Space group Pm-3m (No. 221)
Unique sites:
Nd (0.0000, 0.0000, 0.0000) x1
Y (0.0000, 0.5000, 0.5000) x3
Pd (0.5000, 0.5000, 0.5000) x1

Computed properties:
size of the total moment: 0.00 Bohr magnetons per cell
DOS at the Fermi energy: 8.5 states/eV per cell
DFT formation energy: -0.18 eV/atom
crystal system: cubic
polymorph energy (0 for the lowest one): 134.5 meV/atom

=====

Entry 2:
First-principles (PBE) data for a relaxed Te2IrO crystal, as listed in the Alexandria database.

a b c (Å): 4.1341 4.1341 19.6149
angles (deg): 90.00 90.00 120.00
Space group R-3m (No. 166, hexagonal axes)
Unique sites:
Te (0.0000, 0.0000, 0.1037) x6
Ir (0.0000, 0.0000, 0.5000) x3
O (0.0000, 0.0000, 0.0000) x3

Computed properties:
size of the total moment: 0.00 Bohr magnetons per cell
DOS at the Fermi energy: 5.9 states/eV per cell
crystal system: trigonal
E_form (uncorrected): -0.30 eV per atom